## one
DFT (PBE) results for a relaxed HfReTe2N crystal.

Unit cell a=5.4362 b=5.4362 c=3.7199 alpha=90.00 beta=90.00 gamma=90.00
Sites, in units of the cell vectors:
Hf 0.0000 0.0000 0.0000
Re 0.5000 0.5000 0.5000
Te 0.0000 0.5000 0.5000
Te 0.5000 0.0000 0.5000
N 0.5000 0.5000 0.0000

Calculated density   9.58 g cm⁻³
Magnetization   0.000 μB/atom
DOS(E_F)   3.78 states/eV/cell

---

## two
DFT (PBE) results for a relaxed HfReTe2N crystal.

Unit cell a=5.6392 b=5.6392 c=3.9086 alpha=90.00 beta=90.00 gamma=90.00
Sites, in units of the cell vectors:
Hf 0.0000 0.0000 0.0000
Re 0.5000 0.5000 0.5000
Te 0.0000 0.5000 0.0000
Te 0.5000 0.0000 0.0000
N 0.0000 0.0000 0.5000

Calculated density   8.47 g cm⁻³
Magnetization   0.682 μB/atom
DOS(E_F)   2.70 states/eV/cell

---

It turns out one is the most stable, with the second structure 57.4 kJ/mol of atoms higher.

---

## one
DFT (PBE) results for a relaxed HfRhN2 crystal.

Unit cell a=6.3313 b=6.3313 c=6.3313 alpha=29.77 beta=29.77 gamma=29.77
Sites, in units of the cell vectors:
Hf 0.0000 0.0000 0.0000
Rh 0.5000 0.5000 0.5000
N 0.3933 0.3933 0.3933
N 0.6067 0.6067 0.6067

Calculated density   9.28 g cm⁻³
Magnetization   0.337 μB/atom
DOS(E_F)   3.96 states/eV/cell

---

## two
DFT (PBE) results for a relaxed HfRhN2 crystal.

Unit cell a=6.0513 b=6.0513 c=6.0513 alpha=135.07 beta=135.07 gamma=65.42
Sites, in units of the cell vectors:
Hf 0.0000 0.0000 0.0000
Hf 0.7500 0.2500 0.5000
Rh 0.2500 0.7500 0.5000
Rh 0.5000 0.5000 0.0000
N 0.1256 0.6250 0.0006
N 0.3750 0.3756 0.5006
N 0.6244 0.1250 0.9994
N 0.8750 0.8744 0.4994

Calculated density   9.44 g cm⁻³
Magnetization   0.000 μB/atom
DOS(E_F)   4.53 states/eV/cell

---

## three
DFT (PBE) results for a relaxed HfRhN2 crystal.

Unit cell a=3.9270 b=3.9270 c=3.9270 alpha=60.00 beta=60.00 gamma=60.00
Sites, in units of the cell vectors:
Hf 0.0000 0.0000 0.0000
Rh 0.5000 0.5000 0.5000
N 0.2500 0.2500 0.2500
N 0.7500 0.7500 0.7500

Calculated density   12.00 g cm⁻³
Magnetization   0.000 μB/atom
DOS(E_F)   2.89 states/eV/cell

---

It turns out two is the most stable, with the second structure 2.2 kJ/mol of atoms higher.

---

## one
DFT (PBE) results for a relaxed HfRhSeN2 crystal.

Unit cell a=3.9218 b=3.9218 c=4.8582 alpha=90.00 beta=90.00 gamma=90.00
Sites, in units of the cell vectors:
Hf 0.0000 0.0000 0.0000
Rh 0.5000 0.5000 0.5000
Se 0.5000 0.5000 0.0000
N 0.0000 0.5000 0.5000
N 0.5000 0.0000 0.5000

Calculated density   8.63 g cm⁻³
Magnetization   0.079 μB/atom
DOS(E_F)   5.12 states/eV/cell

---

## two
DFT (PBE) results for a relaxed HfRhSeN2 crystal.

Unit cell a=4.0341 b=4.0341 c=5.4702 alpha=90.00 beta=90.00 gamma=90.00
Sites, in units of the cell vectors:
Hf 0.0000 0.0000 0.0000
Rh 0.5000 0.5000 0.5000
Se 0.0000 0.0000 0.5000
N 0.0000 0.5000 0.0000
N 0.5000 0.0000 0.0000

Calculated density   7.24 g cm⁻³
Magnetization   0.148 μB/atom
DOS(E_F)   6.75 states/eV/cell

---

It turns out two is the most stable, with the second structure 11.9 kJ/mol of atoms higher.

---

## one
DFT (PBE) results for a relaxed HfRuS2N crystal.

Unit cell a=4.9789 b=4.9789 c=4.0355 alpha=90.00 beta=90.00 gamma=90.00
Sites, in units of the cell vectors:
Hf 0.0000 0.0000 0.0000
Ru 0.5000 0.5000 0.5000
S 0.0000 0.5000 0.0000
S 0.5000 0.0000 0.0000
N 0.0000 0.0000 0.5000

Calculated density   5.94 g cm⁻³
Magnetization   0.935 μB/atom
DOS(E_F)   5.72 states/eV/cell

---

## two
DFT (PBE) results for a relaxed HfRuS2N crystal.

Unit cell a=4.7617 b=4.7617 c=3.6348 alpha=90.00 beta=90.00 gamma=90.00
Sites, in units of the cell vectors:
Hf 0.0000 0.0000 0.0000
Ru 0.5000 0.5000 0.5000
S 0.0000 0.5000 0.5000
S 0.5000 0.0000 0.5000
N 0.5000 0.5000 0.0000

Calculated density   7.21 g cm⁻³
Magnetization   0.000 μB/atom
DOS(E_F)   2.67 states/eV/cell

---

It turns out two is the most stable, with the second structure 36.7 kJ/mol of atoms higher.